[1]
Compound: Pu2SnBi3
Source: Alexandria via LeMat-Bulk
Functional: PBE-GGA
Structure: relaxed

Symmetry: No. 71
Formation energy, eV/atom: -0.0960
E_tot, eV/cell: -44.9
Calculated density, g/cm³: 10.14

Unit cell a=8.0441 b=8.0441 c=8.0441 alpha=147.72 beta=132.92 gamma=58.24
With the nearest neighbours (Å) after each atom.
Fractional coordinates of all 6 atoms:
Pu 0.1627 0.1627 0.0000  6 Bi 3.20-3.22
Pu 0.8373 0.8373 0.0000  6 Bi 3.20-3.22
Sn 0.5000 0.5000 0.0000  6 Bi 3.21-3.30
Bi 0.0000 0.5000 0.5000  4 Pu 3.20, 2 Sn 3.21
Bi 0.3272 0.8272 0.5000  4 Pu 3.22, 2 Sn 3.30
Bi 0.6728 0.1728 0.5000  4 Pu 3.22, 2 Sn 3.30

=====

[2]
Compound: Pu2Sn2Bi
Source: Alexandria via LeMat-Bulk
Functional: PBE-GGA
Structure: relaxed

Symmetry: No. 139
Formation energy, eV/atom: -0.2093
E_tot, eV/cell: -41.6
Calculated density, g/cm³: 10.77

Unit cell a=8.5976 b=8.5976 c=8.5976 alpha=151.54 beta=151.54 gamma=40.69
With the nearest neighbours (Å) after each atom.
Fractional coordinates of all 5 atoms:
Pu 0.0907 0.0907 0.0000  1 Pu 2.92
Pu 0.9093 0.9093 0.0000  1 Pu 2.92
Sn 0.2500 0.7500 0.5000  4 Sn 2.99, 4 Pu 3.33
Sn 0.7500 0.2500 0.5000  4 Sn 2.99, 4 Pu 3.33
Bi 0.5000 0.5000 0.0000  8 Pu 3.33

=====

[3]
Compound: Pu2SnBi4
Source: Alexandria via LeMat-Bulk
Functional: PBE-GGA
Structure: relaxed

Symmetry: No. 115
Formation energy, eV/atom: -0.1899
E_tot, eV/cell: -49.5
Calculated density, g/cm³: 10.95
Energy relative to the lowest polymorph listed for this composition, meV/atom: 29.2

Unit cell a=4.6512 b=4.6512 c=10.1149 alpha=90.00 beta=90.00 gamma=90.00
With the nearest neighbours (Å) after each atom.
Fractional coordinates of all 7 atoms:
Pu 0.0000 0.5000 0.2478  8 Bi 3.32-3.45, 2 Sn 3.42
Pu 0.5000 0.0000 0.7522  8 Bi 3.32-3.45, 2 Sn 3.42
Sn 0.5000 0.5000 0.0000  4 Bi 3.09, 4 Pu 3.42
Bi 0.0000 0.0000 0.5000  4 Bi 3.29, 4 Pu 3.45
Bi 0.0000 0.5000 0.7985  2 Sn 3.09, 4 Pu 3.32
Bi 0.5000 0.0000 0.2015  2 Sn 3.09, 4 Pu 3.32
Bi 0.5000 0.5000 0.5000  4 Bi 3.29, 4 Pu 3.45

=====

[4]
Compound: PuSnBi2
Source: Alexandria via LeMat-Bulk
Functional: PBE-GGA
Structure: relaxed

Symmetry: No. 123
Formation energy, eV/atom: -0.1866
E_tot, eV/cell: -26.8
Calculated density, g/cm³: 11.01
Energy relative to the lowest polymorph listed for this composition, meV/atom: 64.0

Unit cell a=4.2450 b=4.2450 c=6.5355 alpha=90.00 beta=90.00 gamma=90.00
With the nearest neighbours (Å) after each atom.
Fractional coordinates of all 4 atoms:
Pu 0.0000 0.0000 0.0000  2 Sn 3.27, 8 Bi 3.40
Sn 0.0000 0.0000 0.5000  2 Pu 3.27, 8 Bi 3.44
Bi 0.5000 0.5000 0.2440  2 Bi 3.19-3.35, 4 Pu 3.40, 4 Sn 3.44
Bi 0.5000 0.5000 0.7560  2 Bi 3.19-3.35, 4 Pu 3.40, 4 Sn 3.44